Entry 1:
Material: Ac2CuF
Method: DFT, GGA-PBE
State: optimized geometry

Results
Uncorrected energy in eV for the cell shown: -19.08
DOS(E_F) in states/eV/f.u.: 4.267
Formation energy (no corrections) in kcal/mol of atoms: -28.2
Total magnetization in μB/cell: 0.37
Polymorph energy (0 for the lowest one) in kJ per mole of atoms: 0.00

```
4
Lattice="4.606 0.000 0.000 2.303 3.989 0.000 2.303 1.330 7.988" Properties=species:S:1:pos:R:3 pbc="T T T"
F 0.000 0.000 0.000
Ac 2.303 1.330 5.572
Ac 6.909 3.989 2.416
Cu 4.606 2.659 3.994
```

Entry 2:
Material: Ac2CuF8
Method: DFT, GGA-PBE
State: optimized geometry

Results
Uncorrected energy in eV for the cell shown: -64.64
Formation energy (no corrections) in kcal/mol of atoms: -78.3
Total magnetization in μB/cell: 1.00

```
11
Lattice="-0.676 -3.446 -2.646 4.936 -1.649 0.887 -4.269 -0.957 5.989" Properties=species:S:1:pos:R:3 pbc="T T T"
F -3.005 -2.130 3.540
F -0.769 -1.607 2.289
F 2.997 -3.922 0.690
F -0.608 -3.191 4.311
F 0.600 -2.861 -0.081
F 3.676 -1.260 0.702
F -3.685 -4.792 3.528
F 0.760 -4.445 1.942
Ac 1.804 -1.927 2.048
Ac -1.812 -4.125 2.182
Cu -0.338 -1.723 -1.323
```

Entry 3:
Material: AcCuF5
Method: DFT, GGA-PBE
State: optimized geometry

Results
Uncorrected energy in eV for the cell shown: -76.68
DOS(E_F) in states/eV/f.u.: 0.173
Formation energy (no corrections) in kcal/mol of atoms: -68.4
Total magnetization in μB/cell: 2.00

```
14
Lattice="-2.879 -2.515 -3.190 2.382 -3.240 -2.936 -1.338 -8.556 3.309" Properties=species:S:1:pos:R:3 pbc="T T T"
Cu -0.669 -4.278 1.654
F -0.331 -10.095 -2.727
F -0.643 -11.887 -0.528
Ac -0.465 -5.033 -2.230
F -1.871 -7.347 -2.274
F -1.505 -4.216 -0.090
Cu 0.000 0.000 0.000
Ac -1.370 -9.278 -0.587
F -3.017 -4.681 -2.353
F -1.479 -5.567 -4.469
F -0.356 -8.744 1.652
F 1.182 -9.630 -0.464
F 0.036 -6.963 -0.542
F -1.192 -2.424 -2.288
```

Entry 4:
Material: Ac12Cu5F3
Method: DFT, GGA-PBE
State: optimized geometry

Results
Uncorrected energy in eV for the cell shown: -320.86
DOS(E_F) in states/eV/f.u.: 24.873
Formation energy (no corrections) in kcal/mol of atoms: -5.6
Total magnetization in μB/cell: 0.01

```
80
Lattice="15.365 0.000 0.000 -5.122 14.486 0.000 -5.122 -7.243 12.545" Properties=species:S:1:pos:R:3 pbc="T T T"
Ac 6.657 2.371 1.473
Ac 10.227 -3.445 7.745
Ac 3.143 9.277 0.889
Ac 5.704 2.034 11.656
Ac 5.704 -1.787 11.228
Cu 6.402 3.622 9.409
F -3.841 -2.716 10.977
Cu -5.122 3.622 6.273
F 1.280 7.243 3.136
Ac -1.026 8.404 4.955
Ac -1.978 -0.247 10.339
Ac 2.987 1.674 4.066
Ac 9.817 0.737 5.689
Ac 2.578 9.678 5.383
Ac -4.695 6.506 6.856
Ac -2.544 -5.879 11.962
Ac 7.100 7.490 2.207
Ac -2.544 3.445 7.745
Ac -0.583 5.209 0.889
Ac 4.695 -1.674 4.066
Ac -2.134 -0.737 5.689
Ac 3.587 6.082 4.955
F 11.524 0.000 3.136
Ac -0.583 9.031 1.317
Ac -1.535 4.872 11.073
Ac 3.143 5.456 1.317
Cu 1.280 4.527 10.977
Cu 6.402 -4.527 10.977
F -1.280 6.338 7.841
Ac 2.134 5.569 8.479
Cu 8.963 -0.905 7.841
Ac -5.105 10.688 4.800
Ac 0.427 8.917 8.479
Ac 7.256 7.980 6.856
Cu -3.841 8.148 4.704
F 3.841 8.148 7.841
Cu 5.122 7.243 0.000
Cu 0.000 0.000 0.000
Cu 3.841 2.716 1.568
Ac -2.987 8.180 9.756
Ac 10.826 6.996 2.207
Ac -4.096 12.115 1.473
Ac -1.535 -3.711 9.062
F 1.280 -0.905 4.704
F -3.841 2.716 10.977
Cu 6.402 6.338 4.704
Ac 5.548 6.306 9.756
Ac 1.535 1.161 7.590
F 6.402 0.905 4.704
Ac -0.017 4.808 5.383
Ac 2.544 -2.435 7.162
Ac 1.978 -2.034 11.656
Ac 1.978 1.787 11.228
Ac 7.666 3.798 4.800
Ac 11.269 3.532 3.483
Cu -2.561 -3.622 6.273
Cu -1.280 11.770 1.568
Ac 7.666 13.122 0.583
F 8.963 9.959 1.568
Ac 5.138 2.435 7.162
Cu 7.682 0.000 0.000
Ac -5.138 5.879 11.962
Cu -1.280 3.622 3.136
Ac 10.260 1.364 0.583
F 3.841 0.000 9.409
Ac 6.147 -1.161 7.590
Ac 8.109 -0.937 2.790
Cu 3.841 10.865 3.136
Cu 5.122 -3.622 6.273
F 8.963 4.527 1.568
Ac -0.427 0.937 2.790
Ac 9.217 -4.872 11.073
Cu -1.280 0.905 7.841
Cu -2.561 7.243 0.000
Ac -5.704 0.247 10.339
Cu 1.280 -3.622 9.409
Ac 6.657 10.954 3.483
Cu 2.561 3.622 6.273
F -6.402 7.243 9.409
Ac -6.147 3.711 9.062
```

Entry 5:
Material: Ac2CuF
Method: DFT, GGA-PBE
State: optimized geometry

Results
Uncorrected energy in eV for the cell shown: -17.95
DOS(E_F) in states/eV/f.u.: 4.267
Formation energy (no corrections) in kcal/mol of atoms: -21.7
Total magnetization in μB/cell: 0.00
Polymorph energy (0 for the lowest one) in kJ per mole of atoms: 27.17

```
4
Lattice="-0.904 2.364 2.594 -3.467 -1.017 -0.282 1.161 -5.451 5.371" Properties=species:S:1:pos:R:3 pbc="T T T"
Cu -1.605 -2.052 3.842
Ac 0.299 -1.401 1.381
F -2.186 0.673 1.156
Ac 0.863 -4.050 3.991
```

Entry 6:
Material: AcCuF
Method: DFT, GGA-PBE
State: optimized geometry

Results
Uncorrected energy in eV for the cell shown: -31.29
DOS(E_F) in states/eV/f.u.: 1.362
Formation energy (no corrections) in kcal/mol of atoms: -42.8
Total magnetization in μB/cell: 0.00

```
6
Lattice="-2.827 3.226 -0.151 -4.253 -0.765 0.500 1.093 -0.936 8.085" Properties=species:S:1:pos:R:3 pbc="T T T"
F -4.239 1.096 3.603
F -1.747 0.428 4.832
Ac -4.012 1.487 6.158
Cu -3.399 -0.503 8.397
Cu -2.587 2.027 0.037
Ac -1.974 0.037 2.277
```

Entry 7:
Material: Ac4Cu6F19
Method: DFT, GGA-PBE
State: optimized geometry

Results
Uncorrected energy in eV for the cell shown: -156.89
DOS(E_F) in states/eV/f.u.: 16.806
Formation energy (no corrections) in kcal/mol of atoms: -63.9
Total magnetization in μB/cell: 1.08

```
29
Lattice="-5.508 -5.928 0.648 4.508 -1.210 -6.641 4.783 -0.022 6.559" Properties=species:S:1:pos:R:3 pbc="T T T"
F -0.515 -4.225 5.118
Cu -0.604 -4.423 -1.962
F 1.278 -4.529 -1.273
F 6.599 -0.875 -0.059
F -0.710 -5.069 -4.256
F -2.387 -4.521 2.853
Cu 2.812 -4.008 -3.026
Cu 4.388 -2.736 2.527
Ac 2.991 -0.802 -4.406
F -0.210 -1.725 2.089
F -0.353 -6.797 -1.987
F 2.228 -4.912 4.602
F 1.263 -4.281 1.959
F 0.000 0.000 0.000
F 3.754 -3.099 0.254
Ac -3.654 -3.932 0.430
Cu -0.719 -5.519 1.467
F 2.608 -2.167 -2.256
F -0.290 -2.069 -1.737
Ac 1.274 -2.410 0.190
F 1.436 -3.101 -4.753
F -1.081 -3.913 0.321
Cu 4.502 -1.641 -0.902
Cu 0.972 -3.152 3.591
F 2.693 -0.357 -0.024
F 2.626 -1.777 2.555
Ac 3.173 -0.015 4.351
F 6.084 -3.351 -1.426
F 5.248 -0.510 2.543
```

Entry 8:
Material: Ac3Cu5F12
Method: DFT, GGA-PBE
State: optimized geometry

Results
Uncorrected energy in eV for the cell shown: -410.79
DOS(E_F) in states/eV/f.u.: 5.228
Formation energy (no corrections) in kcal/mol of atoms: -54.7
Total magnetization in μB/cell: 0.00

```
80
Lattice="12.026 0.000 0.000 -4.009 11.338 0.000 -4.009 -5.669 9.819" Properties=species:S:1:pos:R:3 pbc="T T T"
Ac 3.006 0.000 7.364
Cu 5.011 4.960 3.682
F 7.220 -3.929 8.470
Ac -3.006 2.126 8.592
F 1.906 7.421 4.086
F 5.216 8.802 2.728
Cu -1.002 9.212 1.227
Ac -1.002 4.960 6.137
F 1.656 -1.436 8.996
F 1.207 0.796 5.742
F 5.664 5.674 1.655
F 8.115 -2.663 6.258
F 2.801 4.872 4.077
F 4.357 1.436 8.996
Ac 1.002 5.669 2.455
F 7.919 1.254 0.526
Cu 1.002 3.543 8.592
F 0.098 3.917 4.086
F -0.547 0.652 2.181
F -2.103 -4.415 9.293
F -0.797 6.465 4.077
Cu 3.006 8.503 2.455
Cu -1.002 2.834 2.455
Cu 1.002 -2.834 7.364
F 1.457 4.397 6.565
F -2.551 6.321 7.638
Ac 9.019 0.000 2.455
F 4.806 -0.796 5.742
F 4.555 5.017 7.638
Cu -4.009 2.834 4.909
F -4.357 0.005 8.164
Cu -3.006 6.378 3.682
Ac -3.006 -2.126 8.592
F 0.547 6.941 6.565
F -3.910 4.415 9.293
Cu 3.006 2.126 1.227
F 2.551 1.272 3.254
F -1.457 -0.620 4.384
F -1.656 -0.005 8.164
Cu 6.013 0.000 0.000
F 5.216 1.740 1.349
F -2.103 2.663 6.258
Ac 5.011 0.709 3.682
Cu -2.004 -2.834 4.909
F -3.462 5.049 5.435
F -3.212 9.598 1.349
Cu 0.000 0.000 0.000
F -0.349 7.100 0.832
Ac 3.006 6.378 6.137
F 2.353 7.105 0.823
Cu 4.009 5.669 0.000
F 4.357 -1.431 8.987
Cu -1.002 0.709 6.137
F -0.348 4.233 0.823
Cu 2.004 2.834 4.909
F -1.207 3.929 8.470
F 6.111 3.006 3.561
Ac 7.015 3.543 1.227
F 7.470 0.620 4.384
F 1.656 1.431 8.987
F 6.111 10.084 0.526
F 3.462 -1.272 3.254
Cu -2.004 5.669 0.000
Ac 7.015 7.795 1.227
F 8.814 2.536 2.728
F 6.560 -0.652 2.181
Cu 7.015 -0.709 6.137
F -1.207 -3.133 7.090
F 8.366 5.664 1.655
Ac -5.011 5.669 7.364
Cu 4.009 -2.834 4.909
Cu 5.011 -3.543 8.592
F -4.107 8.332 3.561
F 3.910 1.752 5.732
F 2.103 -1.752 5.732
F 5.466 6.289 5.435
F 2.353 4.238 0.832
Ac 1.002 -0.709 3.682
F -4.806 3.133 7.090
Cu 5.011 2.834 7.364
```

Entry 9:
Material: AcCu3F12
Method: DFT, GGA-PBE
State: optimized geometry

Results
Uncorrected energy in eV for the cell shown: -141.95
Formation energy (no corrections) in kcal/mol of atoms: -46.3
Total magnetization in μB/cell: 0.00

```
32
Lattice="-2.019 -9.421 -2.897 6.609 -7.357 1.849 -0.840 -6.536 4.370" Properties=species:S:1:pos:R:3 pbc="T T T"
F 3.469 -9.881 2.657
F 1.252 -9.201 1.851
Ac -0.640 -6.456 3.972
F -0.156 -9.011 4.059
F 4.118 -18.795 1.141
F 0.209 -10.139 -1.909
F 2.346 -9.725 -0.566
Cu -1.163 -12.388 -0.053
F 1.618 -6.816 2.699
F 4.434 -11.468 0.134
F 1.036 -13.762 3.648
Cu -1.544 -9.864 3.309
Cu 0.215 -15.225 3.121
F 3.865 -14.347 -0.914
F -0.334 -10.912 0.541
F 1.973 -16.904 0.441
F 0.279 -13.289 0.546
Cu 2.601 -8.312 2.652
F 0.061 -4.501 2.379
F 2.168 -12.455 -1.201
F 2.675 -14.104 1.414
Cu 3.449 -11.276 5.534
F -1.175 -14.281 2.494
F 3.588 -13.020 5.138
F 4.380 -15.948 1.841
F 4.079 -12.486 2.615
F 1.946 -11.140 4.629
F -0.656 -11.382 3.274
F 5.091 -9.076 0.756
Cu 4.236 -14.252 2.286
F -0.876 -6.968 1.416
Ac 2.075 -11.577 1.263
```

Entry 10:
Material: AcCuH2F8
Method: DFT, GGA-PBE
State: optimized geometry

Results
Uncorrected energy in eV for the cell shown: -57.55
DOS(E_F) in states/eV/f.u.: 3.013
Total magnetization in μB/cell: 0.28

```
12
Lattice="-0.393 -1.917 4.051 3.115 -3.114 0.813 4.231 5.912 3.936" Properties=species:S:1:pos:R:3 pbc="T T T"
F 3.990 2.278 6.113
Cu 0.000 0.000 0.000
F 4.843 4.709 5.060
F 2.964 -1.396 2.686
F 5.757 1.829 4.585
H 2.196 -1.236 3.323
Ac 2.116 2.956 1.968
F 3.933 -0.456 5.238
F 3.020 1.337 3.562
F 1.197 -0.948 4.214
F 2.111 -3.828 3.739
H 4.758 2.117 5.477
```

Entry 11:
Material: K2AcCu3F12
Method: DFT, GGA-PBE
State: optimized geometry

Results
Uncorrected energy in eV for the cell shown: -84.56
DOS(E_F) in states/eV/f.u.: 1.982
Formation energy (no corrections) in kcal/mol of atoms: -55.7
Total magnetization in μB/cell: 4.02

```
18
Lattice="-1.759 4.619 4.963 -5.660 3.822 -1.555 -5.715 -1.779 3.637" Properties=species:S:1:pos:R:3 pbc="T T T"
F -2.553 2.954 3.159
Ac 0.000 0.000 0.000
F -4.290 2.600 0.257
Cu -0.879 2.309 2.482
F -4.579 4.667 4.986
F -10.581 3.708 3.886
K -5.083 2.578 2.726
F -4.314 0.106 2.569
F -8.819 6.556 4.477
F -6.065 6.020 2.894
F -8.554 1.995 2.060
Cu -2.858 -0.889 1.819
F -8.844 4.063 6.789
F -7.034 4.166 0.885
Cu -2.830 1.911 -0.778
F -7.069 0.642 4.151
F -6.100 2.496 6.161
K -8.051 4.084 4.319
```

Entry 12:
Material: KAcCu2F8
Method: DFT, GGA-PBE
State: optimized geometry

Results
Uncorrected energy in eV for the cell shown: -59.55
Formation energy (no corrections) in kcal/mol of atoms: -59.9
Total magnetization in μB/cell: 2.07

```
12
Lattice="-1.262 -0.496 -5.720 -5.305 -2.139 1.356 1.218 6.448 2.193" Properties=species:S:1:pos:R:3 pbc="T T T"
Cu -3.284 -1.318 -2.182
K 0.000 0.000 0.000
Ac -1.664 2.317 -2.854
F -1.664 4.648 -1.790
F -1.838 -0.089 -1.988
F -4.278 1.749 2.492
Cu -3.685 1.495 0.684
F -2.019 4.498 1.810
F -5.190 0.395 0.228
F -3.437 2.095 -1.122
F -5.178 -1.432 -2.373
F -1.837 1.743 1.138
```

Q: What is the total magnetization in the fourth record?
A: 0.01 μB/cell